The following is a PBE calculation of a relaxed Tm2B2Pd2CN crystal, from the Open Quantum Materials Database.

abc: 3.692 3.692 7.652
angles: 90.00 90.00 90.00
Space group P4mm (No. 99)
One atom of each set of equivalent atoms:
Tm (0.000, 0.000, 0.000) (multiplicity 1)
Tm (0.500, 0.500, 0.316) (multiplicity 1)
B (0.000, 0.000, 0.483) (multiplicity 1)
B (0.500, 0.500, 0.824) (multiplicity 1)
Pd (0.000, 0.500, 0.650) (multiplicity 2)
C (0.500, 0.500, 0.017) (multiplicity 1)
N (0.000, 0.000, 0.297) (multiplicity 1)

## Properties
E_tot = -7.0737 eV per atom
volume = 13.04 Å³/atom